1.
This record from Alexandria via LeMat-Bulk describes a geometry-optimized KMn4Re structure. The functional is GGA-PBE.

a = 6.9583 Å, b = 6.9583 Å, c = 6.9583 Å
α = 90.00°, β = 90.00°, γ = 90.00°
Space group F-43m (No. 216)
Symmetry-distinct sites (fractional):
1 K 0.0000 0.0000 0.0000 (multiplicity 4)
2 Mn 0.1250 0.1250 0.6250 (multiplicity 16)
3 Re 0.2500 0.2500 0.2500 (multiplicity 4)

Computed properties:
Fermi-level density of states in states/eV per cell: 32.32
Mass density in g/cm³: 8.77
Energy of formation in eV per atom: 1.068



2.
This record from Alexandria via LeMat-Bulk describes a geometry-optimized CoW2Au structure. The functional is GGA-PBE.

a = 5.3871 Å, b = 8.1821 Å, c = 2.7321 Å
α = 90.00°, β = 90.48°, γ = 90.00°
Space group C2/m (No. 12)
Symmetry-distinct sites (fractional):
1 Co 0.0000 0.0000 0.0000 (multiplicity 2)
2 W 0.2500 0.2500 0.5000 (multiplicity 4)
3 Au 0.0000 0.5000 0.0000 (multiplicity 2)

Computed properties:
Fermi-level density of states in states/eV per cell: 7.98
Mass density in g/cm³: 17.20
Energy of formation in eV per atom: 0.368



3.
This record from Alexandria via LeMat-Bulk describes a geometry-optimized LaHo14Th structure. The functional is GGA-PBE.

a = 11.1184 Å, b = 8.0745 Å, c = 11.2474 Å
α = 90.00°, β = 90.00°, γ = 90.00°
Space group Amm2 (No. 38)
Symmetry-distinct sites (fractional):
1 La 0.0000 0.0000 0.0000 (multiplicity 2)
2 Ho 0.0000 0.2063 0.7214 (multiplicity 4)
3 Ho 0.2377 0.0000 0.2040 (multiplicity 4)
4 Ho 0.2516 0.2124 0.9238 (multiplicity 8)
5 Ho 0.2659 0.0000 0.6463 (multiplicity 4)
6 Ho 0.5000 0.0000 0.4067 (multiplicity 2)
7 Ho 0.5000 0.0000 0.8553 (multiplicity 2)
8 Ho 0.5000 0.2064 0.1330 (multiplicity 4)
9 Th 0.0000 0.0000 0.4350 (multiplicity 2)

Computed properties:
Fermi-level density of states in states/eV per cell: 51.13
Mass density in g/cm³: 8.81
Energy of formation in eV per atom: 0.062



4.
This record from Alexandria via LeMat-Bulk describes a geometry-optimized Zn2PRh structure. The functional is GGA-PBE.

a = 9.3122 Å, b = 2.8468 Å, c = 4.2793 Å
α = 90.00°, β = 93.88°, γ = 90.00°
Space group C2/m (No. 12)
Symmetry-distinct sites (fractional):
1 Zn 0.2369 0.0000 0.2431 (multiplicity 4)
2 P 0.0000 0.0000 0.5000 (multiplicity 2)
3 Rh 0.0000 0.5000 0.0000 (multiplicity 2)

Computed properties:
Fermi-level density of states in states/eV per cell: 3.83
Mass density in g/cm³: 7.77
Energy of formation in eV per atom: -0.089



5.
This record from Alexandria via LeMat-Bulk describes a geometry-optimized LiNdBi structure. The functional is GGA-PBE.

a = 6.8167 Å, b = 6.8167 Å, c = 6.8167 Å
α = 90.00°, β = 90.00°, γ = 90.00°
Space group F-43m (No. 216)
Symmetry-distinct sites (fractional):
1 Li 0.0000 0.0000 0.0000 (multiplicity 4)
2 Nd 0.2500 0.2500 0.7500 (multiplicity 4)
3 Bi 0.2500 0.2500 0.2500 (multiplicity 4)

Computed properties:
Fermi-level density of states in states/eV per cell: 4.41
Mass density in g/cm³: 7.55
Energy of formation in eV per atom: -0.496



6.
This record from Alexandria via LeMat-Bulk describes a geometry-optimized KIrN2O structure. The functional is GGA-PBE.

a = 3.8210 Å, b = 3.8210 Å, c = 4.4353 Å
α = 90.00°, β = 90.00°, γ = 90.00°
Space group P4/mmm (No. 123)
Symmetry-distinct sites (fractional):
1 K 0.0000 0.0000 0.0000 (multiplicity 1)
2 Ir 0.5000 0.5000 0.5000 (multiplicity 1)
3 N 0.0000 0.5000 0.5000 (multiplicity 2)
4 O 0.5000 0.5000 0.0000 (multiplicity 1)

Computed properties:
Fermi-level density of states in states/eV per cell: 5.41
Electronic total energy in eV per atom: -6.02
Mass density in g/cm³: 7.06



7.
This record from Alexandria via LeMat-Bulk describes a geometry-optimized DyCu8Ni2 structure. The functional is GGA-PBE.

a = 4.8528 Å, b = 4.8528 Å, c = 7.9116 Å
α = 90.00°, β = 90.00°, γ = 90.00°
Space group P4/mmm (No. 123)
Symmetry-distinct sites (fractional):
1 Dy 0.0000 0.0000 0.0000 (multiplicity 1)
2 Cu 0.2519 0.2519 0.2849 (multiplicity 8)
3 Ni 0.0000 0.5000 0.5000 (multiplicity 2)

Computed properties:
Fermi-level density of states in states/eV per cell: 5.29
Mass density in g/cm³: 7.03
Energy of formation in eV per atom: 0.390



8.
This record from Alexandria via LeMat-Bulk describes a geometry-optimized FeNiAg2 structure. The functional is GGA-PBE.

a = 7.0888 Å, b = 7.0888 Å, c = 5.2359 Å
α = 90.00°, β = 90.00°, γ = 90.00°
Space group I-42d (No. 122)
Symmetry-distinct sites (fractional):
1 Fe 0.0000 0.0000 0.0000 (multiplicity 4)
2 Ni 0.0000 0.0000 0.5000 (multiplicity 4)
3 Ag 0.2413 0.2500 0.6250 (multiplicity 8)

Computed properties:
Fermi-level density of states in states/eV per cell: 18.46
Mass density in g/cm³: 8.34
Energy of formation in eV per atom: 0.700